1.
DFT (PBE-GGA) results for a relaxed structure of SrTlHg5.

Unit cell a=6.3041 b=11.3249 c=11.2959 alpha=90.00 beta=90.00 gamma=90.00
Last column: nearest neighbours and their distance in Å.
Fractional positions:
Sr 0.2500 0.3175 0.8952  10 Hg 3.46-3.62, 2 Tl 3.65-3.75
Tl 0.2500 0.4864 0.6203  4 Hg 3.05-3.34
Hg 0.4852 0.6549 0.8363  4 Hg 2.97-3.16
Hg 0.0148 0.1549 0.6637  4 Hg 2.97-3.16
Tl 0.2500 0.9864 0.8797  4 Hg 3.05-3.34
Hg 0.2500 0.6097 0.3612  4 Hg 3.16-3.20, 3 Tl 3.24-3.34
Hg 0.5148 0.8451 0.3363  4 Hg 2.97-3.16
Hg 0.7500 0.1704 0.9007  1 Tl 3.05, 4 Hg 3.07-3.20
Tl 0.7500 0.0136 0.1203  4 Hg 3.05-3.34
Tl 0.7500 0.5136 0.3797  4 Hg 3.05-3.34
Hg 0.5148 0.3451 0.1637  4 Hg 2.97-3.16
Sr 0.7500 0.6825 0.1048  10 Hg 3.46-3.62, 2 Tl 3.65-3.75
Hg 0.2500 0.0592 0.4167  6 Hg 3.07-3.34
Hg 0.7500 0.3903 0.6388  4 Hg 3.16-3.20, 3 Tl 3.24-3.34
Hg 0.9852 0.3451 0.1637  4 Hg 2.97-3.16
Sr 0.7500 0.1825 0.3952  10 Hg 3.46-3.62, 2 Tl 3.65-3.75
Hg 0.7500 0.8903 0.8612  4 Hg 3.16-3.20, 3 Tl 3.24-3.34
Hg 0.2500 0.1097 0.1388  4 Hg 3.16-3.20, 3 Tl 3.24-3.34
Hg 0.9852 0.8451 0.3363  4 Hg 2.97-3.16
Sr 0.2500 0.8175 0.6048  10 Hg 3.46-3.62, 2 Tl 3.65-3.75
Hg 0.2500 0.8296 0.0993  1 Tl 3.05, 4 Hg 3.07-3.20
Hg 0.2500 0.5592 0.0833  6 Hg 3.07-3.34
Hg 0.2500 0.3296 0.4007  1 Tl 3.05, 4 Hg 3.07-3.20
Hg 0.7500 0.9408 0.5833  6 Hg 3.07-3.34
Hg 0.0148 0.6549 0.8363  4 Hg 2.97-3.16
Hg 0.7500 0.4408 0.9167  6 Hg 3.07-3.34
Hg 0.4852 0.1549 0.6637  4 Hg 2.97-3.16
Hg 0.7500 0.6704 0.5993  1 Tl 3.05, 4 Hg 3.07-3.20

- Crystal system: orthorhombic
- ΔH_f (0 K): -134 kJ/mol of formula units
- Magnetization: 0.000 μB per formula unit
- Total DFT energy (no corrections): -0.0365 Ha/atom

2.
DFT (PBE-GGA) results for a relaxed structure of RbZrCo2Cl.

Unit cell a=4.5186 b=5.3364 c=4.5186 alpha=90.00 beta=90.00 gamma=90.00
Last column: nearest neighbours and their distance in Å.
Fractional positions:
Zr 0.5000 0.5000 0.5000  4 Cl 3.20, 8 Co 3.50
Cl 0.0000 0.5000 0.0000  2 Rb 2.67
Co 0.5000 0.0000 0.0000  2 Rb 2.26
Rb 0.0000 0.0000 0.0000  4 Co 2.26
Co 0.0000 0.0000 0.5000  2 Rb 2.26

- Crystal system: tetragonal
- Magnetization: 0.000 μB per formula unit
- Total DFT energy (no corrections): -0.1218 Ha/atom
- Uncorrected formation energy: 1.800 eV per atom

3.
DFT (PBE-GGA) results for a relaxed structure of Li2Zn3Ga8.

Unit cell a=6.1956 b=6.8060 c=6.6502 alpha=120.78 beta=101.72 gamma=90.00
Last column: nearest neighbours and their distance in Å.
Fractional positions:
Ga 0.1979 0.7829 0.5658  1 Zn 2.73, 1 Li 2.74, 5 Ga 2.82-3.04
Zn 0.0000 0.8152 0.0000  1 Zn 2.52, 2 Ga 2.63, 2 Li 2.70
Li 0.2354 0.1990 0.3979  6 Ga 2.66-2.78, 2 Zn 2.70
Ga 0.8350 0.5807 0.1613  2 Zn 2.63, 1 Li 2.66, 5 Ga 2.82-2.91
Ga 0.1650 0.4193 0.8387  2 Zn 2.63, 1 Li 2.66, 5 Ga 2.82-2.91
Ga 0.4441 0.4341 0.2540  2 Zn 2.61-2.91, 5 Ga 2.63-2.92, 2 Li 2.69-2.78
Ga 0.5559 0.5659 0.7460  2 Zn 2.61-2.91, 5 Ga 2.63-2.92, 2 Li 2.69-2.78
Zn 0.5000 0.0000 0.0000  6 Ga 2.61-2.73
Zn 0.0000 0.1848 0.0000  1 Zn 2.52, 2 Ga 2.63, 2 Li 2.70
Ga 0.4441 0.8199 0.2540  2 Zn 2.61-2.91, 5 Ga 2.63-2.92, 2 Li 2.69-2.78
Ga 0.5559 0.1801 0.7460  2 Zn 2.61-2.91, 5 Ga 2.63-2.92, 2 Li 2.69-2.78
Ga 0.8021 0.2171 0.4342  1 Zn 2.73, 1 Li 2.74, 5 Ga 2.82-3.04
Li 0.7646 0.8010 0.6021  6 Ga 2.66-2.78, 2 Zn 2.70

- Crystal system: monoclinic
- ΔH_f (0 K): -18 kJ/mol of formula units
- Magnetization: 0.000 μB per formula unit
- Total DFT energy (no corrections): -0.0906 Ha/atom

4.
DFT (PBE-GGA) results for a relaxed structure of BaTc2PdN.

Unit cell a=4.8391 b=6.4867 c=4.8391 alpha=90.00 beta=90.00 gamma=90.00
Last column: nearest neighbours and their distance in Å.
Fractional positions:
Ba 0.0000 0.5000 0.0000  2 Pd 3.24, 4 N 3.42
N 0.5000 0.5000 0.5000  4 Ba 3.42
Tc 0.5000 0.0000 0.0000  2 Pd 2.42
Tc 0.0000 0.0000 0.5000  2 Pd 2.42
Pd 0.0000 0.0000 0.0000  4 Tc 2.42

- Crystal system: tetragonal
- Magnetization: 5.377 μB per formula unit
- Total DFT energy (no corrections): -0.1885 Ha/atom
- Uncorrected formation energy: 2.106 eV per atom

5.
DFT (PBE-GGA) results for a relaxed structure of Y14TmSc.

Unit cell a=7.1001 b=7.1001 c=10.0113 alpha=90.00 beta=90.00 gamma=89.99
Last column: nearest neighbours and their distance in Å.
Fractional positions:
Y 0.6263 0.3737 0.2466  1 Sc 3.51, 10 Y 3.52-3.58, 1 Tm 3.53
Y 0.3750 0.1250 0.5000  12 Y 3.55-3.57
Tm 0.3751 0.6249 0.0000  12 Y 3.53-3.55
Y 0.8749 0.6249 0.0000  8 Y 3.52, 2 Sc 3.55, 2 Tm 3.55
Y 0.1238 0.3737 0.2465  1 Sc 3.51, 10 Y 3.52-3.58, 1 Tm 3.53
Y 0.6263 0.3737 0.7534  1 Sc 3.51, 10 Y 3.52-3.58, 1 Tm 3.53
Y 0.1238 0.3737 0.7535  1 Sc 3.51, 10 Y 3.52-3.58, 1 Tm 3.53
Y 0.3751 0.1251 0.0000  8 Y 3.52, 2 Sc 3.55, 2 Tm 3.55
Y 0.1237 0.8763 0.2464  1 Sc 3.51, 10 Y 3.52-3.58, 1 Tm 3.53
Y 0.1237 0.8763 0.7536  1 Sc 3.51, 10 Y 3.52-3.58, 1 Tm 3.53
Sc 0.8749 0.1251 0.0000  12 Y 3.51-3.55
Y 0.6263 0.8762 0.7535  1 Sc 3.51, 10 Y 3.52-3.58, 1 Tm 3.53
Y 0.8751 0.1249 0.5000  12 Y 3.55-3.56
Y 0.6263 0.8762 0.2465  1 Sc 3.51, 10 Y 3.52-3.58, 1 Tm 3.53
Y 0.8750 0.6250 0.5000  12 Y 3.55-3.57
Y 0.3749 0.6251 0.5000  12 Y 3.55-3.58

- Crystal system: tetragonal
- ΔH_f (0 K): 48 kJ/mol of formula units
- Magnetization: 0.000 μB per formula unit
- Total DFT energy (no corrections): -0.2315 Ha/atom

6.
DFT (PBE-GGA) results for a relaxed structure of EuGe3.

Unit cell a=4.2607 b=4.2607 c=6.2700 alpha=109.86 beta=109.86 gamma=90.00
Last column: nearest neighbours and their distance in Å.
Fractional positions:
Ge 0.5000 0.5000 0.0000  2 Ge 2.42
Eu 0.0000 0.0000 0.0000  6 Ge 3.01-3.08
Ge 0.2803 0.2803 0.5606  1 Ge 2.42
Ge 0.7197 0.7197 0.4394  1 Ge 2.42

- Crystal system: tetragonal
- ΔH_f (0 K): -41 kJ/mol of formula units
- Magnetization: 7.006 μB per formula unit
- Total DFT energy (no corrections): -0.2255 Ha/atom

Question: Which of these has the highest total DFT energy (no corrections)?
Answer: SrTlHg5